[1]
Compound: TaFeIr2Rh
Source: Alexandria
Functional: GGA-PBE
Structure: optimized geometry

Lattice parameters (Å, degrees): 4.695 4.364 4.695 90.00 90.00 90.00
Fractional coordinates of all 5 atoms:
Ir 0.000 0.000 0.500
Ta 0.500 0.500 0.500
Ir 0.500 0.000 0.000
Fe 0.000 0.500 0.000
Rh 0.000 0.000 0.000

Properties
Electronic total energy   -37.178 eV/cell
Density   12.50 g cm⁻³
Total magnetic moment   2.804 μB per formula unit
Space group   P4/mmm


[2]
Compound: YGa4CoNi2
Source: Alexandria
Functional: GGA-PBE
Structure: optimized geometry

Lattice parameters (Å, degrees): 4.065 4.065 8.927 76.84 76.84 60.00
Fractional coordinates of all 8 atoms:
Ga 0.133 0.133 0.601
Y 0.000 0.000 0.000
Co 0.500 0.500 0.500
Ga 0.596 0.596 0.211
Ga 0.404 0.404 0.789
Ni 0.768 0.768 0.695
Ni 0.232 0.232 0.305
Ga 0.867 0.867 0.399

Properties
Electronic total energy   -40.850 eV/cell
Density   7.33 g cm⁻³
Total magnetic moment   0.002 μB per formula unit
Space group   R-3m


[3]
Compound: PrHo3Cu
Source: Alexandria
Functional: GGA-PBE
Structure: optimized geometry

Lattice parameters (Å, degrees): 5.374 5.374 5.374 90.00 90.00 90.00
Fractional coordinates of all 5 atoms:
Ho 0.000 0.000 0.500
Ho 0.500 0.000 0.000
Cu 0.000 0.000 0.000
Ho 0.000 0.500 0.000
Pr 0.500 0.500 0.500

Properties
Electronic total energy   -22.287 eV/cell
Density   7.48 g cm⁻³
Total magnetic moment   0.000 μB per formula unit
Space group   Pm-3m


[4]
Compound: PHS2Cl
Source: Alexandria
Functional: GGA-PBE
Structure: optimized geometry

Lattice parameters (Å, degrees): 4.467 4.467 4.967 90.00 90.00 90.00
Fractional coordinates of all 5 atoms:
P 0.000 0.000 0.000
Cl 0.000 0.000 0.500
S 0.000 0.500 0.000
H 0.500 0.500 0.500
S 0.500 0.000 0.000

Properties
Electronic total energy   -14.883 eV/cell
Density   2.20 g cm⁻³
Total magnetic moment   0.672 μB per formula unit
Energy above the most stable polymorph in this dataset   0.0 meV per atom
Space group   P4/mmm


Copy entry 1 word for word.
Compound: TaFeIr2Rh
Source: Alexandria
Functional: GGA-PBE
Structure: optimized geometry

Lattice parameters (Å, degrees): 4.695 4.364 4.695 90.00 90.00 90.00
Fractional coordinates of all 5 atoms:
Ir 0.000 0.000 0.500
Ta 0.500 0.500 0.500
Ir 0.500 0.000 0.000
Fe 0.000 0.500 0.000
Rh 0.000 0.000 0.000

Properties
Electronic total energy   -37.178 eV/cell
Density   12.50 g cm⁻³
Total magnetic moment   2.804 μB per formula unit
Space group   P4/mmm


Copy entry 2 word for word.
Compound: YGa4CoNi2
Source: Alexandria
Functional: GGA-PBE
Structure: optimized geometry

Lattice parameters (Å, degrees): 4.065 4.065 8.927 76.84 76.84 60.00
Fractional coordinates of all 8 atoms:
Ga 0.133 0.133 0.601
Y 0.000 0.000 0.000
Co 0.500 0.500 0.500
Ga 0.596 0.596 0.211
Ga 0.404 0.404 0.789
Ni 0.768 0.768 0.695
Ni 0.232 0.232 0.305
Ga 0.867 0.867 0.399

Properties
Electronic total energy   -40.850 eV/cell
Density   7.33 g cm⁻³
Total magnetic moment   0.002 μB per formula unit
Space group   R-3m


total magnetic moment of number 4 (PHS2Cl)? 0.672 μB per formula unit


Among the records above, which one has the highest total magnetic moment? TaFeIr2Rh